The following is a DFT calculation (PBE) of LaCeTm4 after structural relaxation.

Results
Volume: 31.7 Å³/atom
Total magnetization: 1.18 μB per formula unit
Energy relative to the elements: 0.22 eV per atom
Space group: Pmmm
Calculated density: 8.3 g/cm³

```
LaCeTm4
1.0
3.322 0.231 0.002
-0.402 5.796 0.001
0.000 -0.001 9.824
La Ce Tm
1 1 4
Cartesian
3.312 0.238 4.933
1.451 3.021 0.019
3.113 3.136 6.843
3.111 3.136 3.021
1.652 0.122 1.773
1.651 0.121 8.090
```